# 1
A plane-wave DFT calculation with PBE was carried out for a relaxed structure of ZrSn2Au2.

Output
Energy above the lowest structure with this stoichiometry, meV per atom: 71.0
E, eV/cell: -47.5
Total moment, μB/cell: 0.00

Cell and atoms, written as POSCAR:
```
ZrSn2Au2
1.0
7.9733 0.0000 0.0000
0.0000 7.9733 0.0000
0.0000 0.0000 3.4271
Au Zr Sn
4 2 4
Direct
0.3466 0.1534 0.5000
0.6534 0.8466 0.5000
0.8466 0.3466 0.5000
0.1534 0.6534 0.5000
0.0000 0.0000 0.0000
0.5000 0.5000 0.0000
0.6475 0.1475 0.0000
0.8525 0.6475 0.0000
0.1475 0.3525 0.0000
0.3525 0.8525 0.0000
```

***

# 2
A plane-wave DFT calculation with PBE was carried out for a relaxed structure of La2CdCo.

Output
E, eV/cell: -18.4
Total moment, μB/cell: 0.00

Cell and atoms, written as POSCAR:
```
La2CdCo
1.0
-3.0221 -0.8272 -2.5682
-3.4722 -1.5557 1.3915
-5.1266 6.7580 0.6606
Cd La Co
1 2 1
Direct
0.5003 0.5003 0.4992
0.2719 0.2719 0.1844
0.0620 0.0620 0.8140
0.6659 0.6659 0.0024
```

***

# 3
A plane-wave DFT calculation with PBE was carried out for a relaxed structure of ZrTi2Pd.

Output
E, eV/cell: -30.0
Total moment, μB/cell: 0.00

Cell and atoms, written as POSCAR:
```
ZrTi2Pd
1.0
-1.4398 0.4642 -2.6104
-1.7562 -2.1620 -1.1594
-8.2955 2.8435 3.3376
Pd Ti Zr
1 2 1
Direct
0.6670 0.6670 0.9989
0.2558 0.2558 0.2325
0.0774 0.0774 0.7679
0.4998 0.4998 0.5007
```

***

# 4
A plane-wave DFT calculation with PBE was carried out for a relaxed structure of CdCu2Cl.

Output
Energy above the lowest structure with this stoichiometry, meV per atom: 195.7
E, eV/cell: -10.4
Total moment, μB/cell: 0.00

Cell and atoms, written as POSCAR:
```
CdCu2Cl
1.0
3.3935 0.0000 0.0000
0.0000 3.4781 0.0000
0.0000 0.0000 6.0989
Cd Cu Cl
1 2 1
Direct
0.5000 0.5000 0.2500
0.0000 0.0000 0.0464
0.0000 0.0000 0.4536
0.5000 0.5000 0.7500
```

***

# 5
A plane-wave DFT calculation with PBE was carried out for a relaxed structure of SrCaPuN3.

Output
E, eV/cell: -96.9
Total moment, μB/cell: 6.00

Cell and atoms, written as POSCAR:
```
SrCaPuN3
1.0
-5.9489 0.2248 -0.1215
-1.3868 -5.4921 -1.6195
-0.8769 -4.4299 5.0575
N Sr Pu Ca
6 2 2 2
Direct
0.2500 0.7620 0.4760
0.9927 0.7371 0.0994
0.0073 0.2629 0.9006
0.4927 0.8365 0.9006
0.7500 0.2380 0.5240
0.5073 0.1635 0.0994
0.7500 0.7586 0.4827
0.2500 0.2414 0.5173
0.2500 0.9314 0.1373
0.7500 0.0686 0.8627
0.7500 0.4303 0.1393
0.2500 0.5697 0.8607
```

***

# 6
A plane-wave DFT calculation with PBE was carried out for a relaxed structure of Hf3TaAs.

Output
Energy above the lowest structure with this stoichiometry, meV per atom: 716.6
E, eV/cell: -40.9
Total moment, μB/cell: 0.00

Cell and atoms, written as POSCAR:
```
Hf3TaAs
1.0
-2.8644 4.1104 0.8313
-3.4331 -2.8765 2.3939
2.4084 0.7883 4.4011
Hf Ta As
3 1 1
Direct
0.0000 0.5000 0.0000
0.0000 0.0000 0.5000
0.5000 0.0000 0.0000
0.0000 0.0000 0.0000
0.5000 0.5000 0.5000
```

***

Number 1: theoretical density 11.0 g/cm³. Number 2: theoretical density 6.4 g/cm³. Number 3: theoretical density 6.7 g/cm³. Number 4: theoretical density 6.3 g/cm³. Number 5: theoretical density 6.6 g/cm³. Number 6: theoretical density 10.0 g/cm³.